No. 1
First-principles (GGA-PBE) data for a relaxed structure of CsPbSe3, as listed in the Alexandria database.

Structure (extended XYZ):
```
5
Lattice="5.6252 0.0000 0.0000 0.0000 5.6252 0.0000 0.0000 0.0000 5.6252" Properties=species:S:1:pos:R:3 pbc="T T T"
Pb 0.0000 0.0000 0.0000
Se 2.8126 0.0000 0.0000
Cs 2.8126 2.8126 2.8126
Se 0.0000 2.8126 0.0000
Se 0.0000 0.0000 2.8126
```

Computed properties:
The formation energy without anion corrections is -0.24 eV/atom. The value obtained for the total moment is 0.00 Bohr magnetons per cell. The calculation puts the density of states at the Fermi level at 5.851 states/eV/f.u.



No. 2
First-principles (GGA-PBE) data for a relaxed structure of Cs2PbSe2, as listed in the Alexandria database.

Structure (extended XYZ):
```
5
Lattice="-0.6868 -4.6859 -4.2944 -3.9102 -3.0938 4.0012 -6.5404 -1.3025 -2.2914" Properties=species:S:1:pos:R:3 pbc="T T T"
Se -4.7629 -4.9391 -3.3661
Se -6.3746 -4.1430 0.7817
Pb 0.0000 0.0000 0.0000
Cs -3.6170 -3.0856 -0.8132
Cs -7.5205 -5.9965 -1.7713
```

Computed properties:
The formation energy without anion corrections is -0.16 eV/atom. The value obtained for the total moment is 0.00 Bohr magnetons per cell. The calculation puts the density of states at the Fermi level at 0.000 states/eV/f.u. The energy above the most stable polymorph in this dataset comes out at 769 meV per atom.



No. 3
First-principles (GGA-PBE) data for a relaxed structure of CsPb2Se2, as listed in the Alexandria database.

Structure (extended XYZ):
```
10
Lattice="-0.5644 8.1730 -4.2583 -0.9823 -4.2953 -8.1139 -3.9856 -0.0187 0.4924" Properties=species:S:1:pos:R:3 pbc="T T T"
Se -0.5053 4.6457 -3.9134
Pb -3.2074 1.2721 -9.5360
Se -1.1159 4.2273 -8.8713
Pb -2.3249 2.5869 -2.3438
Cs 0.0000 0.0000 0.0000
Pb -2.8635 5.5525 -6.5902
Se -1.0415 -0.7680 -8.4588
Se -0.4309 -0.3495 -3.5009
Pb -2.6688 -1.6935 -5.2895
Cs -0.7734 1.9389 -6.1861
```

Computed properties:
The formation energy without anion corrections is -0.42 eV/atom. The value obtained for the total moment is 0.00 Bohr magnetons per cell. The calculation puts the density of states at the Fermi level at 3.146 states/eV/f.u. The energy above the most stable polymorph in this dataset comes out at 196 meV per atom.



No. 4
First-principles (GGA-PBE) data for a relaxed structure of Cs5Pb2Se5, as listed in the Alexandria database.

Structure (extended XYZ):
```
12
Lattice="5.0084 0.0000 0.0000 -2.5042 8.0576 0.0780 0.0000 -3.7367 12.7659" Properties=species:S:1:pos:R:3 pbc="T T T"
Cs 2.5042 2.3163 0.9067
Se 2.5042 4.0045 8.1608
Cs 2.5042 -1.8684 6.3829
Se 0.0000 5.0392 2.7779
Se 2.5042 -0.7183 10.0659
Pb 2.5042 6.6504 2.6260
Pb 0.0000 -2.3295 10.2179
Se 0.0000 0.3164 4.6831
Se 0.0000 0.0000 0.0000
Cs 0.0000 1.4223 8.0931
Cs 0.0000 2.0046 11.9371
Cs 2.5042 2.8986 4.7507
```

Computed properties:
The formation energy without anion corrections is -0.91 eV/atom. The value obtained for the total moment is 0.00 Bohr magnetons per cell. The calculation puts the density of states at the Fermi level at 1.219 states/eV/f.u.